Compound: Tl2InNi
Source: Alexandria via LeMat-Bulk
Functional: GGA-PBE
Structure: optimized geometry

Calculated formation energy = 381 meV/atom
Total magnetization = 0.00 μB per cell
Volume = 23.4 Å³/atom

Lattice parameters (Å, degrees): 7.2123 7.2123 7.2123 90.00 90.00 90.00
With the nearest neighbours (Å) after each atom.
Space group F-43m (No. 216)
Asymmetric unit:
Tl: 0.0000 0.0000 0.0000 (multiplicity 4)  4 In 3.12, 4 Tl 3.12
Tl: 0.2500 0.2500 0.2500 (multiplicity 4)  4 Tl 3.12, 4 Ni 3.12
In: 0.2500 0.2500 0.7500 (multiplicity 4)  4 Tl 3.12, 4 Ni 3.12
Ni: 0.0000 0.0000 0.5000 (multiplicity 4)  4 Tl 3.12, 4 In 3.12